Below is a geometry-optimized AlIN2 structure, with properties calculated at the PBE level.

Formation energy (no corrections) = 1.26 eV per atom
ρ = 4313 kg/m3
Energy relative to the lowest polymorph listed for this composition = 0.8830 eV/atom
Space group = R-3m (166)

a = 5.9828 Å, b = 5.9828 Å, c = 5.9828 Å
α = 37.16°, β = 37.16°, γ = 37.16°
Element x y z (fractional)
I  0.5000  0.5000  0.5000
Al  0.0000  0.0000  0.0000
N  0.8917  0.8917  0.8917
N  0.1083  0.1083  0.1083

=====

Below is a geometry-optimized AlIN2 structure, with properties calculated at the PBE level.

Formation energy (no corrections) = 0.37 eV per atom
ρ = 5573 kg/m3
Energy relative to the lowest polymorph listed for this composition = 0.0000 eV/atom
Space group = R-3m (166)

a = 6.4364 Å, b = 6.4364 Å, c = 6.4364 Å
α = 28.65°, β = 28.65°, γ = 28.65°
Element x y z (fractional)
I  0.0000  0.0000  0.0000
Al  0.5000  0.5000  0.5000
N  0.8858  0.8858  0.8858
N  0.1142  0.1142  0.1142

=====

Below is a geometry-optimized AlI2N2 structure, with properties calculated at the PBE level.

Formation energy (no corrections) = 1.22 eV per atom
ρ = 4468 kg/m3
Energy relative to the lowest polymorph listed for this composition = 0.0415 eV/atom
Space group = P4/mmm (123)

a = 4.0484 Å, b = 4.0484 Å, c = 7.0025 Å
α = 90.00°, β = 90.00°, γ = 90.00°
Element x y z (fractional)
I  0.5000  0.5000  0.5000
I  0.0000  0.0000  0.5000
Al  0.0000  0.0000  0.0000
N  0.0000  0.5000  0.0000
N  0.5000  0.0000  0.0000

=====

Below is a geometry-optimized AlIN2 structure, with properties calculated at the PBE level.

Formation energy (no corrections) = 0.58 eV per atom
ρ = 5045 kg/m3
Energy relative to the lowest polymorph listed for this composition = 0.2025 eV/atom
Space group = I-42d (122)

a = 5.2961 Å, b = 5.2961 Å, c = 5.6786 Å
α = 62.20°, β = 62.20°, γ = 90.00°
Element x y z (fractional)
I  0.0000  0.0000  0.0000
I  0.7500  0.2500  0.5000
Al  0.5000  0.5000  0.0000
Al  0.2500  0.7500  0.5000
N  0.5302  0.1250  0.2500
N  0.2198  0.6250  0.2500
N  0.3750  0.4698  0.7500
N  0.8750  0.7802  0.7500

=====

Below is a geometry-optimized AlI2N2 structure, with properties calculated at the PBE level.

Formation energy (no corrections) = 1.17 eV per atom
ρ = 4014 kg/m3
Energy relative to the lowest polymorph listed for this composition = 0.0000 eV/atom
Space group = P4/mmm (123)

a = 6.0911 Å, b = 6.0911 Å, c = 3.4430 Å
α = 90.00°, β = 90.00°, γ = 90.00°
Last column: magnetic moment on the atom in μB.
Element x y z (fractional)
I  0.0000  0.5000  0.0000  0.03
I  0.5000  0.0000  0.0000  0.03
Al  0.0000  0.0000  0.0000  0.00
N  0.5000  0.5000  0.5000  1.86
N  0.0000  0.0000  0.5000  0.18

=====

Below is a geometry-optimized NaAlIN2 structure, with properties calculated at the PBE level.

Formation energy (no corrections) = 0.42 eV per atom
ρ = 3564 kg/m3
Energy relative to the lowest polymorph listed for this composition = 0.0000 eV/atom
Space group = P4/mmm (123)

a = 3.9424 Å, b = 6.1423 Å, c = 3.9424 Å
α = 90.00°, β = 90.00°, γ = 90.00°
Last column: magnetic moment on the atom in μB.
Element x y z (fractional)
I  0.0000  0.5000  0.0000  0.08
Na  0.5000  0.5000  0.5000  0.00
Al  0.0000  0.0000  0.0000  -0.03
N  0.0000  0.0000  0.5000  0.79
N  0.5000  0.0000  0.0000  0.77

=====

Below is a geometry-optimized NaAlIN2 structure, with properties calculated at the PBE level.

Formation energy (no corrections) = 1.68 eV per atom
ρ = 2371 kg/m3
Energy relative to the lowest polymorph listed for this composition = 1.2619 eV/atom
Space group = P4/mmm (123)

a = 4.7486 Å, b = 4.7486 Å, c = 6.3635 Å
α = 90.00°, β = 90.00°, γ = 90.00°
Last column: magnetic moment on the atom in μB.
Element x y z (fractional)
I  0.0000  0.0000  0.5000  0.07
Na  0.0000  0.0000  0.0000  0.00
Al  0.5000  0.5000  0.5000  0.01
N  0.0000  0.5000  0.0000  1.58
N  0.5000  0.0000  0.0000  1.58

=====

Below is a geometry-optimized NaAlI2N structure, with properties calculated at the PBE level.

Formation energy (no corrections) = 0.69 eV per atom
ρ = 3093 kg/m3
Energy relative to the lowest polymorph listed for this composition = 0.9824 eV/atom
Space group = P4/mmm (123)

a = 6.0281 Å, b = 6.0281 Å, c = 4.6945 Å
α = 90.00°, β = 90.00°, γ = 90.00°
Last column: magnetic moment on the atom in μB.
Element x y z (fractional)
I  0.0000  0.5000  0.0000  -0.11
I  0.5000  0.0000  0.0000  -0.11
Na  0.0000  0.0000  0.0000  -0.01
Al  0.5000  0.5000  0.5000  0.00
N  0.0000  0.0000  0.5000  -1.78

=====

Below is a geometry-optimized NaAlI2N structure, with properties calculated at the PBE level.

Formation energy (no corrections) = -0.29 eV per atom
ρ = 4119 kg/m3
Energy relative to the lowest polymorph listed for this composition = 0.0000 eV/atom
Space group = P4/mmm (123)

a = 5.9823 Å, b = 5.9823 Å, c = 3.5794 Å
α = 90.00°, β = 90.00°, γ = 90.00°
Last column: magnetic moment on the atom in μB.
Element x y z (fractional)
I  0.0000  0.5000  0.0000  0.07
I  0.5000  0.0000  0.0000  0.07
Na  0.5000  0.5000  0.5000  0.00
Al  0.0000  0.0000  0.0000  -0.01
N  0.0000  0.0000  0.5000  0.23

=====

Below is a geometry-optimized NbAlI2N structure, with properties calculated at the PBE level.

Formation energy (no corrections) = 0.56 eV per atom
ρ = 5671 kg/m3
Energy relative to the lowest polymorph listed for this composition = 0.4211 eV/atom
Space group = P4/mmm (123)

a = 5.6968 Å, b = 5.6968 Å, c = 3.4979 Å
α = 90.00°, β = 90.00°, γ = 90.00°
Last column: magnetic moment on the atom in μB.
Element x y z (fractional)
I  0.0000  0.5000  0.0000  -0.07
I  0.5000  0.0000  0.0000  -0.07
Nb  0.5000  0.5000  0.5000  2.13
Al  0.0000  0.0000  0.0000  0.00
N  0.0000  0.0000  0.5000  0.00

=====

Below is a geometry-optimized NbAlI2N structure, with properties calculated at the PBE level.

Formation energy (no corrections) = 0.14 eV per atom
ρ = 4760 kg/m3
Energy relative to the lowest polymorph listed for this composition = 0.0000 eV/atom
Space group = P4/mmm (123)

a = 5.8406 Å, b = 5.8406 Å, c = 3.9648 Å
α = 90.00°, β = 90.00°, γ = 90.00°
Last column: magnetic moment on the atom in μB.
Element x y z (fractional)
I  0.0000  0.5000  0.0000  0.00
I  0.5000  0.0000  0.0000  0.00
Nb  0.0000  0.0000  0.0000  0.79
Al  0.5000  0.5000  0.5000  0.01
N  0.0000  0.0000  0.5000  -0.08

=====

Below is a geometry-optimized AlNiI2N structure, with properties calculated at the PBE level.

Formation energy (no corrections) = 0.58 eV per atom
ρ = 5189 kg/m3
Energy relative to the lowest polymorph listed for this composition = 0.0340 eV/atom
Space group = P4/mmm (123)

a = 5.6752 Å, b = 5.6752 Å, c = 3.5122 Å
α = 90.00°, β = 90.00°, γ = 90.00°
Last column: magnetic moment on the atom in μB.
Element x y z (fractional)
I  0.0000  0.5000  0.0000  0.10
I  0.5000  0.0000  0.0000  0.10
Ni  0.5000  0.5000  0.5000  0.91
Al  0.0000  0.0000  0.0000  -0.01
N  0.0000  0.0000  0.5000  0.19

=====

Below is a geometry-optimized AlNiI2N structure, with properties calculated at the PBE level.

Formation energy (no corrections) = 0.54 eV per atom
ρ = 5212 kg/m3
Energy relative to the lowest polymorph listed for this composition = 0.0000 eV/atom
Space group = P4/mmm (123)

a = 5.6155 Å, b = 5.6155 Å, c = 3.5712 Å
α = 90.00°, β = 90.00°, γ = 90.00°
Last column: magnetic moment on the atom in μB.
Element x y z (fractional)
I  0.0000  0.5000  0.0000  0.09
I  0.5000  0.0000  0.0000  0.09
Ni  0.0000  0.0000  0.0000  0.12
Al  0.5000  0.5000  0.5000  0.01
N  0.0000  0.0000  0.5000  0.40

=====

Below is a geometry-optimized AlNiI2N structure, with properties calculated at the PBE level.

Formation energy (no corrections) = 0.67 eV per atom
ρ = 5205 kg/m3
Energy relative to the lowest polymorph listed for this composition = 0.1265 eV/atom
Space group = P4/mmm (123)

a = 5.6106 Å, b = 3.5825 Å, c = 5.6106 Å
α = 90.00°, β = 90.00°, γ = 90.00°
Last column: magnetic moment on the atom in μB.
Element x y z (fractional)
I  0.0000  0.0000  0.5000  0.02
I  0.5000  0.0000  0.0000  0.03
Ni  0.0000  0.5000  0.0000  0.26
Al  0.5000  0.5000  0.5000  0.01
N  0.0000  0.0000  0.0000  0.00

=====

Below is a geometry-optimized AlINO2 structure, with properties calculated at the PBE level.

Formation energy (no corrections) = -0.24 eV per atom
ρ = 3598 kg/m3
Space group = P4/mmm (123)

a = 3.4681 Å, b = 3.4681 Å, c = 7.6703 Å
α = 90.00°, β = 90.00°, γ = 90.00°
Last column: magnetic moment on the atom in μB.
Element x y z (fractional)
I  0.0000  0.0000  0.5000  0.03
Al  0.0000  0.0000  0.0000  0.00
O  0.0000  0.5000  0.0000  0.00
O  0.5000  0.0000  0.0000  0.00
N  0.5000  0.5000  0.5000  0.15

=====

Below is a geometry-optimized AlI2NO structure, with properties calculated at the PBE level.

Formation energy (no corrections) = 0.67 eV per atom
ρ = 4369 kg/m3
Energy relative to the lowest polymorph listed for this composition = 0.4958 eV/atom
Space group = P4/mmm (123)

a = 5.8261 Å, b = 5.8261 Å, c = 3.4798 Å
α = 90.00°, β = 90.00°, γ = 90.00°
Last column: magnetic moment on the atom in μB.
Element x y z (fractional)
I  0.0000  0.5000  0.0000  0.30
I  0.5000  0.0000  0.0000  0.30
Al  0.0000  0.0000  0.0000  -0.01
O  0.5000  0.5000  0.5000  1.37
N  0.0000  0.0000  0.5000  0.33

=====

Below is a geometry-optimized AlIN2O structure, with properties calculated at the PBE level.

Formation energy (no corrections) = 0.48 eV per atom
ρ = 5754 kg/m3
Space group = P4/mmm (123)

a = 3.9760 Å, b = 3.9760 Å, c = 3.6124 Å
α = 90.00°, β = 90.00°, γ = 90.00°
Last column: magnetic moment on the atom in μB.
Element x y z (fractional)
I  0.5000  0.5000  0.5000  0.00
Al  0.0000  0.0000  0.0000  0.00
O  0.0000  0.0000  0.5000  0.13
N  0.0000  0.5000  0.0000  0.05
N  0.5000  0.0000  0.0000  0.05

=====

Below is a geometry-optimized AlIN2O structure, with properties calculated at the PBE level.

Formation energy (no corrections) = 1.36 eV per atom
ρ = 4940 kg/m3
Space group = P4/mmm (123)

a = 4.0963 Å, b = 4.0963 Å, c = 3.9642 Å
α = 90.00°, β = 90.00°, γ = 90.00°
Element x y z (fractional)
I  0.0000  0.0000  0.0000
Al  0.5000  0.5000  0.5000
O  0.0000  0.0000  0.5000
N  0.0000  0.5000  0.0000
N  0.5000  0.0000  0.0000

=====

Below is a geometry-optimized AlINO2 structure, with properties calculated at the PBE level.

Formation energy (no corrections) = 1.06 eV per atom
ρ = 5097 kg/m3
Space group = P4/mmm (123)

a = 3.9803 Å, b = 3.9803 Å, c = 4.1107 Å
α = 90.00°, β = 90.00°, γ = 90.00°
Element x y z (fractional)
I  0.0000  0.0000  0.5000
Al  0.5000  0.5000  0.5000
O  0.0000  0.5000  0.0000
O  0.5000  0.0000  0.0000
N  0.0000  0.0000  0.0000

=====

Below is a geometry-optimized AlIN2O structure, with properties calculated at the PBE level.

Formation energy (no corrections) = 0.91 eV per atom
ρ = 3479 kg/m3
Space group = P4/mmm (123)

a = 3.5530 Å, b = 3.5530 Å, c = 7.4831 Å
α = 90.00°, β = 90.00°, γ = 90.00°
Element x y z (fractional)
I  0.0000  0.0000  0.5000
Al  0.0000  0.0000  0.0000
O  0.5000  0.5000  0.5000
N  0.0000  0.5000  0.0000
N  0.5000  0.0000  0.0000